Here is an optimized crystal structure of AcMnCO5 from Alexandria via LeMat-Bulk. Energies are from GGA+U.

## Properties
* raw total energy: -7.541 eV/atom

Unit cell a=5.0775 b=5.0775 c=8.1810 alpha=90.09 beta=90.09 gamma=106.92
Element x y z (fractional)
Ac1 0.0000 0.0000 0.0000
Ac2 0.0000 0.0000 0.5000
Mn1 0.3766 0.6234 0.7500
Mn2 0.6234 0.3766 0.2500
C1 0.2782 0.7218 0.2500
C2 0.7218 0.2782 0.7500
O1 0.0319 0.3271 0.7500
O2 0.1566 0.8434 0.7500
O3 0.3271 0.0319 0.2500
O4 0.3688 0.6300 0.1119
O5 0.3700 0.6312 0.3881
O6 0.6300 0.3688 0.6119
O7 0.6312 0.3700 0.8881
O8 0.6729 0.9681 0.7500
O9 0.8434 0.1566 0.2500
O10 0.9681 0.6729 0.2500